# 1
Entry from Alexandria via LeMat-Bulk: an optimized crystal structure of SmPuSb (PBE-GGA).

Properties
ΔE_f (raw) = -150 meV per atom
density of states at the Fermi level = 2.511 states/eV per atom
total magnetization = 6.52 μB/f.u.
calculated volume = 80.2 Å³ per cell
DFT total energy = -7.874 eV/atom

abc: 3.304 5.294 5.294
angles: 120.00 90.00 90.00
Last column: magnetic moment on the atom in μB.
Fractional coordinates of all 3 atoms:
Pu1 0.166 0.000 0.000  -5.78
Sm1 0.166 0.667 0.333  -0.25
Sb1 0.667 0.333 0.667  0.02

***

# 2
Entry from Alexandria via LeMat-Bulk: an optimized crystal structure of SmPuSb (PBE-GGA).

Properties
ΔE_f (raw) = -488 meV per atom
density of states at the Fermi level = 2.882 states/eV per atom
total magnetization = 6.53 μB/f.u.
calculated volume = 83.3 Å³ per cell
DFT total energy = -8.212 eV/atom

abc: 4.087 4.087 5.766
angles: 110.75 110.75 90.00
Last column: magnetic moment on the atom in μB.
Fractional coordinates of all 3 atoms:
Sm1 0.270 0.270 0.540  -0.27
Sb1 0.618 0.618 0.237  0.06
Pu1 0.961 0.961 0.923  -5.64

***

# 3
Entry from Alexandria via LeMat-Bulk: an optimized crystal structure of SmPu4Sb5 (PBE-GGA).

Properties
ΔE_f (raw) = -705 meV per atom
density of states at the Fermi level = 5.126 states/eV per atom
total magnetization = 20.15 μB/f.u.
calculated volume = 308.0 Å³ per cell
DFT total energy = -8.971 eV/atom

abc: 4.437 7.675 9.909
angles: 75.01 77.06 73.20
Last column: magnetic moment on the atom in μB.
Fractional coordinates of all 10 atoms:
Sb1 0.397 0.306 0.899  -0.11
Sb2 0.799 0.099 0.303  -0.13
Sb3 0.201 0.901 0.697  -0.13
Pu1 0.401 0.799 0.399  5.11
Pu2 0.799 0.603 0.799  5.12
Pu3 0.201 0.397 0.201  5.12
Pu4 0.599 0.201 0.601  5.11
Sm1 0.000 0.000 0.000  -0.05
Sb4 0.603 0.694 0.101  -0.11
Sb5 0.000 0.500 0.500  -0.14

***

# 4
Entry from Alexandria via LeMat-Bulk: an optimized crystal structure of Sm2PuSb (PBE-GGA).

Properties
ΔE_f (raw) = -438 meV per atom
density of states at the Fermi level = 2.579 states/eV per atom
total magnetization = 6.62 μB/f.u.
calculated volume = 112.0 Å³ per cell
offset from the most stable computed form = 0.0 meV per atom
DFT total energy = -7.411 eV/atom

abc: 4.622 4.922 4.922
angles: 90.00 90.00 90.00
Last column: magnetic moment on the atom in μB.
Fractional coordinates of all 4 atoms:
Sm1 0.000 0.000 0.500  0.19
Pu1 0.500 0.500 0.500  5.64
Sb1 0.500 0.000 0.000  -0.04
Sm2 0.000 0.500 0.000  0.19

***

# 5
Entry from Alexandria via LeMat-Bulk: an optimized crystal structure of Sm2PuSb (PBE-GGA).

Properties
ΔE_f (raw) = -157 meV per atom
density of states at the Fermi level = 2.722 states/eV per atom
total magnetization = 6.39 μB/f.u.
calculated volume = 122.1 Å³ per cell
offset from the most stable computed form = 280.8 meV per atom
DFT total energy = -7.130 eV/atom

abc: 3.628 3.628 10.911
angles: 80.43 80.43 60.00
Last column: magnetic moment on the atom in μB.
Fractional coordinates of all 4 atoms:
Sm1 0.745 0.745 0.764  0.05
Pu1 0.500 0.500 0.500  5.63
Sb1 0.000 0.000 0.000  0.01
Sm2 0.255 0.255 0.236  0.05

***

# 6
Entry from Alexandria via LeMat-Bulk: an optimized crystal structure of Sm2PuSb3 (PBE-GGA).

Properties
ΔE_f (raw) = -976 meV per atom
density of states at the Fermi level = 2.623 states/eV per atom
total magnetization = 5.06 μB/f.u.
calculated volume = 187.7 Å³ per cell
offset from the most stable computed form = 2.9 meV per atom
DFT total energy = -6.999 eV/atom

abc: 4.466 6.295 7.710
angles: 114.09 106.84 90.00
Last column: magnetic moment on the atom in μB.
Fractional coordinates of all 6 atoms:
Sb1 0.336 0.336 0.673  -0.06
Sm1 0.667 0.167 0.335  -0.01
Sb2 0.000 0.000 0.000  -0.06
Pu1 0.000 0.500 0.000  5.18
Sm2 0.333 0.833 0.665  -0.01
Sb3 0.664 0.664 0.327  -0.06